# CsKTaBr6

CsKTaBr6 after structural relaxation (PBE, the Alexandria database).

## Properties
final energy = -70.28 eV per cell
total magnetic moment = 1.00 μB/f.u.

Unit cell a=8.0316 b=8.0316 c=14.2930 alpha=90.00 beta=90.00 gamma=120.00
Fractional coordinates of all 18 atoms:
Cs 0.0000 0.0000 0.0000
Cs 0.0000 0.0000 0.5000
K 0.3333 0.6667 0.2500
K 0.6667 0.3333 0.7500
Ta 0.3333 0.6667 0.7500
Ta 0.6667 0.3333 0.2500
Br 0.0680 0.4080 0.6444
Br 0.0680 0.6600 0.8556
Br 0.3400 0.4080 0.8556
Br 0.3400 0.9320 0.6444
Br 0.4080 0.0680 0.1444
Br 0.4080 0.3400 0.3556
Br 0.5920 0.6600 0.6444
Br 0.5920 0.9320 0.8556
Br 0.6600 0.0680 0.3556
Br 0.6600 0.5920 0.1444
Br 0.9320 0.3400 0.1444
Br 0.9320 0.5920 0.3556